Record 1
# GGA-PBE Ca2ReSi, optimized geometry
data_Ca2ReSi
_chemical_formula_sum 'Ca2 Re1 Si1'
_cell_length_a 9.940
_cell_length_b 9.940
_cell_length_c 9.940
_cell_angle_alpha 18.25
_cell_angle_beta 18.25
_cell_angle_gamma 18.25
_symmetry_space_group_name_H-M 'P 1'
_symmetry_Int_Tables_number 1
loop_
_symmetry_equiv_pos_as_xyz
'x,y,z'
loop_
_atom_site_label
_atom_site_type_symbol
_atom_site_fract_x
_atom_site_fract_y
_atom_site_fract_z
_atom_site_occupancy
Re1 Re 0.250 0.250 0.250 1
Ca1 Ca 0.000 0.000 0.000 1
Ca2 Ca 0.500 0.500 0.500 1
Si1 Si 0.750 0.750 0.750 1
# ΔE_f (raw): 2.51 eV/f.u.
# space-group type: R-3m, No. 166

***

Record 2
# GGA-PBE CaBiSeN2, optimized geometry
data_CaBiSeN2
_chemical_formula_sum 'Ca1 Bi1 Se1 N2'
_cell_length_a 4.528
_cell_length_b 4.528
_cell_length_c 5.637
_cell_angle_alpha 90.00
_cell_angle_beta 90.00
_cell_angle_gamma 90.00
_symmetry_space_group_name_H-M 'P 1'
_symmetry_Int_Tables_number 1
loop_
_symmetry_equiv_pos_as_xyz
'x,y,z'
loop_
_atom_site_label
_atom_site_type_symbol
_atom_site_fract_x
_atom_site_fract_y
_atom_site_fract_z
_atom_site_occupancy
N1 N 0.000 0.500 0.000 1
N2 N 0.500 0.000 0.000 1
Ca1 Ca 0.000 0.000 0.000 1
Bi1 Bi 0.500 0.500 0.500 1
Se1 Se 0.000 0.000 0.500 1
# energy above the lowest structure with this stoichiometry: 449.4 meV/atom
# ΔE_f (raw): 5.27 eV/f.u.
# space-group type: P4/mmm, No. 123

***

Record 3
# GGA-PBE CuHgTe2, optimized geometry
data_CuHgTe2
_chemical_formula_sum 'Cu2 Hg2 Te4'
_cell_length_a 7.940
_cell_length_b 7.940
_cell_length_c 6.471
_cell_angle_alpha 52.16
_cell_angle_beta 52.16
_cell_angle_gamma 90.00
_symmetry_space_group_name_H-M 'P 1'
_symmetry_Int_Tables_number 1
loop_
_symmetry_equiv_pos_as_xyz
'x,y,z'
loop_
_atom_site_label
_atom_site_type_symbol
_atom_site_fract_x
_atom_site_fract_y
_atom_site_fract_z
_atom_site_occupancy
Te1 Te 0.781 0.281 0.000 1
Te2 Te 0.719 0.781 0.000 1
Te3 Te 0.219 0.719 0.000 1
Te4 Te 0.281 0.219 0.000 1
Hg1 Hg 0.250 0.750 0.500 1
Hg2 Hg 0.750 0.250 0.500 1
Cu1 Cu 0.750 0.750 0.500 1
Cu2 Cu 0.250 0.250 0.500 1
# ΔE_f (raw): 1.45 eV/f.u.
# space-group type: I4/mcm, No. 140

***

Record 4
# GGA-PBE Ba6Na3Au, optimized geometry
data_Ba6Na3Au
_chemical_formula_sum 'Ba12 Na6 Au2'
_cell_length_a 7.909
_cell_length_b 10.495
_cell_length_c 12.956
_cell_angle_alpha 90.00
_cell_angle_beta 87.49
_cell_angle_gamma 90.00
_symmetry_space_group_name_H-M 'P 1'
_symmetry_Int_Tables_number 1
loop_
_symmetry_equiv_pos_as_xyz
'x,y,z'
loop_
_atom_site_label
_atom_site_type_symbol
_atom_site_fract_x
_atom_site_fract_y
_atom_site_fract_z
_atom_site_occupancy
Na1 Na 0.612 0.887 0.735 1
Na2 Na 0.388 0.113 0.265 1
Na3 Na 0.000 0.000 0.500 1
Na4 Na 0.888 0.387 0.765 1
Na5 Na 0.112 0.613 0.235 1
Na6 Na 0.500 0.500 0.000 1
Au1 Au 0.500 0.500 0.500 1
Au2 Au 0.000 0.000 0.000 1
Ba1 Ba 0.357 0.847 0.054 1
Ba2 Ba 0.643 0.153 0.946 1
Ba3 Ba 0.891 0.706 0.941 1
Ba4 Ba 0.144 0.043 0.766 1
Ba5 Ba 0.356 0.543 0.734 1
Ba6 Ba 0.856 0.957 0.234 1
Ba7 Ba 0.391 0.794 0.441 1
Ba8 Ba 0.644 0.457 0.266 1
Ba9 Ba 0.857 0.653 0.554 1
Ba10 Ba 0.109 0.294 0.059 1
Ba11 Ba 0.609 0.206 0.559 1
Ba12 Ba 0.143 0.347 0.446 1
# E_form: -0.11 eV/atom
# space-group type: P2_1/c, No. 14

***

Record 5
# GGA-PBE Y2Al2Ag, optimized geometry
data_Y2Al2Ag
_chemical_formula_sum 'Y4 Al4 Ag2'
_cell_length_a 4.523
_cell_length_b 5.889
_cell_length_c 9.724
_cell_angle_alpha 87.71
_cell_angle_beta 76.55
_cell_angle_gamma 67.42
_symmetry_space_group_name_H-M 'P 1'
_symmetry_Int_Tables_number 1
loop_
_symmetry_equiv_pos_as_xyz
'x,y,z'
loop_
_atom_site_label
_atom_site_type_symbol
_atom_site_fract_x
_atom_site_fract_y
_atom_site_fract_z
_atom_site_occupancy
Y1 Y 0.920 0.262 0.898 1
Y2 Y 0.320 0.688 0.672 1
Y3 Y 0.680 0.312 0.328 1
Y4 Y 0.080 0.738 0.102 1
Ag1 Ag 0.375 0.900 0.350 1
Ag2 Ag 0.625 0.100 0.650 1
Al1 Al 0.925 0.713 0.437 1
Al2 Al 0.636 0.842 0.886 1
Al3 Al 0.075 0.287 0.563 1
Al4 Al 0.364 0.158 0.114 1
# energy above the lowest structure with this stoichiometry: 0.0 meV/atom
# E_form: -0.43 eV/atom
# space-group type: C2/m, No. 12

***

Record 6
# GGA-PBE TiAlTcTe2, optimized geometry
data_TiAlTcTe2
_chemical_formula_sum 'Ti1 Al1 Tc1 Te2'
_cell_length_a 5.311
_cell_length_b 4.580
_cell_length_c 5.311
_cell_angle_alpha 90.00
_cell_angle_beta 90.00
_cell_angle_gamma 90.00
_symmetry_space_group_name_H-M 'P 1'
_symmetry_Int_Tables_number 1
loop_
_symmetry_equiv_pos_as_xyz
'x,y,z'
loop_
_atom_site_label
_atom_site_type_symbol
_atom_site_fract_x
_atom_site_fract_y
_atom_site_fract_z
_atom_site_occupancy
Te1 Te 0.500 0.000 0.000 1
Te2 Te 0.000 0.000 0.500 1
Al1 Al 0.500 0.500 0.500 1
Tc1 Tc 0.000 0.000 0.000 1
Ti1 Ti 0.000 0.500 0.000 1
# ΔE_f (raw): 2.75 eV/f.u.
# space-group type: P4/mmm, No. 123

***

| no. | magnetic moment (μB/cell) | DOS(E_F) (states/eV/f.u.) |
| --- | --- | --- |
| 1 | 0.7 | 5.00 |
| 2 | 3.0 | 2.54 |
| 3 | 0.0 | 2.61 |
| 4 | 0.0 | 9.82 |
| 5 | 0.0 | 3.31 |
| 6 | 0.0 | 6.07 |